Model P:
Compound: GeCSe2N
Source: Alexandria
Functional: PBE
Structure: relaxed

Summary:
Crystal system: tetragonal
Density in g cm⁻³: 4.72
Total moment in μB/cell: 0.0
Symmetry: P4/mmm, No. 123

Lattice parameters (Å, degrees): 5.998 5.998 2.507 90.00 90.00 90.00
Fractional positions:
1 Ge 0.000 0.000 0.000
2 C 0.500 0.500 0.500
3 Se 0.000 0.500 0.500
4 Se 0.500 0.000 0.500
5 N 0.500 0.500 0.000

---

Model Q:
Compound: GeCSe2N
Source: Alexandria
Functional: PBE
Structure: relaxed

Summary:
Crystal system: tetragonal
Density in g cm⁻³: 4.67
Total moment in μB/cell: 0.0
Symmetry: P4/mmm, No. 123

Lattice parameters (Å, degrees): 5.103 5.103 3.501 90.00 90.00 90.00
Fractional positions:
1 Ge 0.000 0.000 0.000
2 C 0.500 0.500 0.500
3 Se 0.000 0.500 0.000
4 Se 0.500 0.000 0.000
5 N 0.000 0.000 0.500

---

Most stable to least stable, the ends of the list are model P and model Q.

---

Model P:
Compound: NaGeC3
Source: Alexandria
Functional: PBE
Structure: relaxed

Summary:
Crystal system: cubic
Density in g cm⁻³: 3.32
Total moment in μB/cell: 0.0
Symmetry: Pm-3m, No. 221

Lattice parameters (Å, degrees): 4.037 4.037 4.037 90.00 90.00 90.00
Fractional positions:
1 Na 0.000 0.000 0.000
2 Ge 0.500 0.500 0.500
3 C 0.000 0.500 0.500
4 C 0.500 0.000 0.500
5 C 0.500 0.500 0.000

---

Model Q:
Compound: NaGeC3
Source: Alexandria
Functional: PBE
Structure: relaxed

Summary:
Crystal system: cubic
Density in g cm⁻³: 2.91
Total moment in μB/cell: 0.0
Symmetry: Pm-3m, No. 221

Lattice parameters (Å, degrees): 4.220 4.220 4.220 90.00 90.00 90.00
Fractional positions:
1 Na 0.000 0.000 0.000
2 Ge 0.500 0.500 0.500
3 C 0.000 0.000 0.500
4 C 0.000 0.500 0.000
5 C 0.500 0.000 0.000

---

Most stable to least stable, the ends of the list are model P and model Q.

---

Model P:
Compound: NbGeC3
Source: Alexandria
Functional: PBE
Structure: relaxed

Summary:
Crystal system: cubic
Density in g cm⁻³: 4.46
Total moment in μB/cell: 0.0
Symmetry: Pm-3m, No. 221

Lattice parameters (Å, degrees): 4.218 4.218 4.218 90.00 90.00 90.00
Fractional positions:
1 Nb 0.000 0.000 0.000
2 Ge 0.500 0.500 0.500
3 C 0.000 0.000 0.500
4 C 0.000 0.500 0.000
5 C 0.500 0.000 0.000

---

Model Q:
Compound: NbGeC3
Source: Alexandria
Functional: PBE
Structure: relaxed

Summary:
Crystal system: cubic
Density in g cm⁻³: 5.80
Total moment in μB/cell: 0.0
Symmetry: Pm-3m, No. 221

Lattice parameters (Å, degrees): 3.863 3.863 3.863 90.00 90.00 90.00
Fractional positions:
1 Nb 0.000 0.000 0.000
2 Ge 0.500 0.500 0.500
3 C 0.000 0.500 0.500
4 C 0.500 0.000 0.500
5 C 0.500 0.500 0.000

---

Most stable to least stable, the ends of the list are model P and model Q.

---

Model P:
Compound: NbGe3C
Source: Alexandria
Functional: PBE
Structure: relaxed

Summary:
Crystal system: cubic
Density in g cm⁻³: 4.23
Total moment in μB/cell: 2.1
Symmetry: Pm-3m, No. 221

Lattice parameters (Å, degrees): 5.023 5.023 5.023 90.00 90.00 90.00
Fractional positions:
1 Nb 0.000 0.000 0.000
2 Ge 0.000 0.000 0.500
3 Ge 0.000 0.500 0.000
4 Ge 0.500 0.000 0.000
5 C 0.500 0.500 0.500

---

Model Q:
Compound: NbGe3C
Source: Alexandria
Functional: PBE
Structure: relaxed

Summary:
Crystal system: cubic
Density in g cm⁻³: 6.84
Total moment in μB/cell: 0.0
Symmetry: Pm-3m, No. 221

Lattice parameters (Å, degrees): 4.279 4.279 4.279 90.00 90.00 90.00
Fractional positions:
1 Nb 0.000 0.000 0.000
2 Ge 0.000 0.500 0.500
3 Ge 0.500 0.000 0.500
4 Ge 0.500 0.500 0.000
5 C 0.500 0.500 0.500

---

Most stable to least stable, the ends of the list are model Q and model P.

---

Model P:
Compound: Nd4Ge2C
Source: Alexandria
Functional: PBE
Structure: relaxed

Summary:
Crystal system: orthorhombic
Density in g cm⁻³: 6.43
Total moment in μB/cell: 0.0
Symmetry: Cmce, No. 64

Lattice parameters (Å, degrees): 8.250 8.250 7.411 90.00 90.00 131.22
Fractional positions:
1 Nd 0.172 0.828 0.927
2 Nd 0.227 0.273 0.750
3 Nd 0.273 0.227 0.250
4 Nd 0.328 0.672 0.427
5 Nd 0.672 0.328 0.573
6 Nd 0.727 0.773 0.750
7 Nd 0.773 0.727 0.250
8 Nd 0.828 0.172 0.073
9 Ge 0.133 0.867 0.537
10 Ge 0.367 0.633 0.037
11 Ge 0.633 0.367 0.963
12 Ge 0.867 0.133 0.463
13 C 0.000 0.000 0.000
14 C 0.500 0.500 0.500

---

Model Q:
Compound: Nd4Ge2C
Source: Alexandria
Functional: PBE
Structure: relaxed

Summary:
Crystal system: tetragonal
Density in g cm⁻³: 6.41
Total moment in μB/cell: 0.0
Symmetry: I4/mmm, No. 139

Lattice parameters (Å, degrees): 8.632 8.632 8.632 146.98 146.98 47.40
Fractional positions:
1 Nd 0.000 0.500 0.500
2 Nd 0.171 0.171 0.000
3 Nd 0.500 0.000 0.500
4 Nd 0.829 0.829 0.000
5 Ge 0.364 0.364 0.000
6 Ge 0.636 0.636 0.000
7 C 0.000 0.000 0.000

---

Most stable to least stable, the ends of the list are model P and model Q.

---

Model P:
Compound: SiNi2GeC
Source: Alexandria
Functional: PBE
Structure: relaxed

Summary:
Crystal system: tetragonal
Density in g cm⁻³: 5.50
Total moment in μB/cell: 0.0
Symmetry: P4/mmm, No. 123

Lattice parameters (Å, degrees): 4.432 4.432 3.539 90.00 90.00 90.00
Fractional positions:
1 Si 0.000 0.000 0.000
2 Ni 0.000 0.500 0.000
3 Ni 0.500 0.000 0.000
4 Ge 0.500 0.500 0.500
5 C 0.000 0.000 0.500

---

Model Q:
Compound: SiNi2GeC
Source: Alexandria
Functional: PBE
Structure: relaxed

Summary:
Crystal system: tetragonal
Density in g cm⁻³: 6.40
Total moment in μB/cell: 0.0
Symmetry: P4/mmm, No. 123

Lattice parameters (Å, degrees): 4.005 4.005 3.724 90.00 90.00 90.00
Fractional positions:
1 Si 0.000 0.000 0.000
2 Ni 0.000 0.500 0.500
3 Ni 0.500 0.000 0.500
4 Ge 0.500 0.500 0.000
5 C 0.000 0.000 0.500

---

Most stable to least stable, the ends of the list are model Q and model P.

---

Model P:
Compound: GeCO2
Source: Alexandria
Functional: PBE
Structure: relaxed

Summary:
Crystal system: trigonal
Density in g cm⁻³: 4.34
Total moment in μB/cell: 0.0
Symmetry: R-3m, No. 166

Lattice parameters (Å, degrees): 6.437 6.437 6.437 25.85 25.85 25.85
Fractional positions:
1 Ge 0.000 0.000 0.000
2 C 0.500 0.500 0.500
3 O 0.388 0.388 0.388
4 O 0.612 0.612 0.612

---

Model Q:
Compound: GeCO2
Source: Alexandria
Functional: PBE
Structure: relaxed

Summary:
Crystal system: tetragonal
Density in g cm⁻³: 4.68
Total moment in μB/cell: 0.0
Symmetry: I4_1/amd, No. 141

Lattice parameters (Å, degrees): 4.895 4.895 4.895 120.08 120.08 89.86
Fractional positions:
1 Ge 0.375 0.625 0.750
2 Ge 0.625 0.375 0.250
3 C 0.125 0.875 0.250
4 C 0.875 0.125 0.750
5 O 0.000 0.000 0.000
6 O 0.000 0.000 0.500
7 O 0.000 0.500 0.000
8 O 0.500 0.000 0.500

---

Model R:
Compound: GeCO2
Source: Alexandria
Functional: PBE
Structure: relaxed

Summary:
Crystal system: cubic
Density in g cm⁻³: 5.05
Total moment in μB/cell: 0.0
Symmetry: Fm-3m, No. 225

Lattice parameters (Å, degrees): 3.786 3.786 3.786 60.00 60.00 60.00
Fractional positions:
1 Ge 0.000 0.000 0.000
2 C 0.500 0.500 0.500
3 O 0.250 0.250 0.250
4 O 0.750 0.750 0.750

---

Model S:
Compound: GeCO2
Source: Alexandria
Functional: PBE
Structure: relaxed

Summary:
Crystal system: trigonal
Density in g cm⁻³: 5.03
Total moment in μB/cell: 0.0
Symmetry: R-3m, No. 166

Lattice parameters (Å, degrees): 6.445 6.445 6.445 23.88 23.88 23.88
Fractional positions:
1 Ge 0.000 0.000 0.000
2 C 0.500 0.500 0.500
3 O 0.116 0.116 0.116
4 O 0.884 0.884 0.884

---

Most stable to least stable, the ends of the list are model P and model R.

---

Model P:
Compound: GeC2O
Source: Alexandria
Functional: PBE
Structure: relaxed

Summary:
Crystal system: cubic
Density in g cm⁻³: 4.90
Total moment in μB/cell: 0.0
Symmetry: Fm-3m, No. 225

Lattice parameters (Å, degrees): 3.779 3.779 3.779 60.00 60.00 60.00
Fractional positions:
1 Ge 0.000 0.000 0.000
2 C 0.250 0.250 0.250
3 C 0.750 0.750 0.750
4 O 0.500 0.500 0.500

---

Model Q:
Compound: GeC2O
Source: Alexandria
Functional: PBE
Structure: relaxed

Summary:
Crystal system: tetragonal
Density in g cm⁻³: 4.33
Total moment in μB/cell: 0.0
Symmetry: I-42d, No. 122

Lattice parameters (Å, degrees): 5.576 5.576 5.576 134.67 134.67 66.04
Fractional positions:
1 Ge 0.000 0.000 0.000
2 Ge 0.750 0.250 0.500
3 C 0.146 0.625 0.021
4 C 0.375 0.396 0.521
5 C 0.604 0.125 0.979
6 C 0.875 0.854 0.479
7 O 0.250 0.750 0.500
8 O 0.500 0.500 0.000

---

Most stable to least stable, the ends of the list are model Q and model P.

---

Model P:
Compound: Ge2CO
Source: Alexandria
Functional: PBE
Structure: relaxed

Summary:
Crystal system: tetragonal
Density in g cm⁻³: 5.19
Total moment in μB/cell: 0.0
Symmetry: I-42d, No. 122

Lattice parameters (Å, degrees): 5.777 5.777 5.777 129.83 129.83 73.68
Fractional positions:
1 Ge 0.106 0.625 0.981
2 Ge 0.375 0.356 0.481
3 Ge 0.644 0.125 0.019
4 Ge 0.875 0.894 0.519
5 C 0.000 0.000 0.000
6 C 0.750 0.250 0.500
7 O 0.250 0.750 0.500
8 O 0.500 0.500 0.000

---

Model Q:
Compound: Ge2CO
Source: Alexandria
Functional: PBE
Structure: relaxed

Summary:
Crystal system: cubic
Density in g cm⁻³: 6.29
Total moment in μB/cell: 0.0
Symmetry: Fm-3m, No. 225

Lattice parameters (Å, degrees): 4.015 4.015 4.015 60.00 60.00 60.00
Fractional positions:
1 Ge 0.250 0.250 0.250
2 Ge 0.750 0.750 0.750
3 C 0.000 0.000 0.000
4 O 0.500 0.500 0.500

---

Most stable to least stable, the ends of the list are model P and model Q.

---

Model P:
Compound: GeP2CO
Source: Alexandria
Functional: PBE
Structure: relaxed

Summary:
Crystal system: tetragonal
Density in g cm⁻³: 4.54
Total moment in μB/cell: 0.0
Symmetry: P4/mmm, No. 123

Lattice parameters (Å, degrees): 4.200 4.200 3.375 90.00 90.00 90.00
Fractional positions:
1 Ge 0.000 0.000 0.000
2 P 0.000 0.500 0.500
3 P 0.500 0.000 0.500
4 C 0.500 0.500 0.500
5 O 0.500 0.500 0.000

---

Model Q:
Compound: GeP2CO
Source: Alexandria
Functional: PBE
Structure: relaxed

Summary:
Crystal system: tetragonal
Density in g cm⁻³: 3.41
Total moment in μB/cell: 0.0
Symmetry: P4/mmm, No. 123

Lattice parameters (Å, degrees): 4.726 4.726 3.543 90.00 90.00 90.00
Fractional positions:
1 Ge 0.000 0.000 0.000
2 P 0.000 0.500 0.000
3 P 0.500 0.000 0.000
4 C 0.500 0.500 0.500
5 O 0.000 0.000 0.500

---

Most stable to least stable, the ends of the list are model P and model Q.

---

Model P:
Compound: GeOs3C
Source: Alexandria
Functional: PBE
Structure: relaxed

Summary:
Crystal system: cubic
Density in g cm⁻³: 11.77
Total moment in μB/cell: 1.7
Symmetry: Pm-3m, No. 221

Lattice parameters (Å, degrees): 4.522 4.522 4.522 90.00 90.00 90.00
Fractional positions:
1 Ge 0.000 0.000 0.000
2 Os 0.000 0.000 0.500
3 Os 0.000 0.500 0.000
4 Os 0.500 0.000 0.000
5 C 0.500 0.500 0.500

---

Model Q:
Compound: GeOs3C
Source: Alexandria
Functional: PBE
Structure: relaxed

Summary:
Crystal system: cubic
Density in g cm⁻³: 16.15
Total moment in μB/cell: 0.0
Symmetry: Pm-3m, No. 221

Lattice parameters (Å, degrees): 4.069 4.069 4.069 90.00 90.00 90.00
Fractional positions:
1 Ge 0.000 0.000 0.000
2 Os 0.000 0.500 0.500
3 Os 0.500 0.000 0.500
4 Os 0.500 0.500 0.000
5 C 0.500 0.500 0.500

---

Most stable to least stable, the ends of the list are model Q and model P.

---

Model P:
Compound: GeOs2C
Source: Alexandria
Functional: PBE
Structure: relaxed

Summary:
Crystal system: cubic
Density in g cm⁻³: 15.58
Total moment in μB/cell: 0.0
Symmetry: Fm-3m, No. 225

Lattice parameters (Å, degrees): 4.123 4.123 4.123 60.00 60.00 60.00
Fractional positions:
1 Ge 0.000 0.000 0.000
2 Os 0.250 0.250 0.250
3 Os 0.750 0.750 0.750
4 C 0.500 0.500 0.500

---

Model Q:
Compound: GeOs2C
Source: Alexandria
Functional: PBE
Structure: relaxed

Summary:
Crystal system: tetragonal
Density in g cm⁻³: 12.10
Total moment in μB/cell: 0.0
Symmetry: I-42d, No. 122

Lattice parameters (Å, degrees): 5.975 5.975 5.975 128.31 128.31 76.12
Fractional positions:
1 Ge 0.000 0.000 0.000
2 Ge 0.750 0.250 0.500
3 Os 0.204 0.625 0.079
4 Os 0.375 0.454 0.579
5 Os 0.546 0.125 0.921
6 Os 0.875 0.796 0.421
7 C 0.250 0.750 0.500
8 C 0.500 0.500 0.000

---

Most stable to least stable, the ends of the list are model Q and model P.

---

Model P:
Compound: GeOsC3
Source: Alexandria
Functional: PBE
Structure: relaxed

Summary:
Crystal system: cubic
Density in g cm⁻³: 8.64
Total moment in μB/cell: 0.0
Symmetry: Pm-3m, No. 221

Lattice parameters (Å, degrees): 3.859 3.859 3.859 90.00 90.00 90.00
Fractional positions:
1 Ge 0.000 0.000 0.000
2 Os 0.500 0.500 0.500
3 C 0.000 0.000 0.500
4 C 0.000 0.500 0.000
5 C 0.500 0.000 0.000

---

Model Q:
Compound: GeOsC3
Source: Alexandria
Functional: PBE
Structure: relaxed

Summary:
Crystal system: cubic
Density in g cm⁻³: 7.64
Total moment in μB/cell: 0.0
Symmetry: Pm-3m, No. 221

Lattice parameters (Å, degrees): 4.019 4.019 4.019 90.00 90.00 90.00
Fractional positions:
1 Ge 0.000 0.000 0.000
2 Os 0.500 0.500 0.500
3 C 0.000 0.500 0.500
4 C 0.500 0.000 0.500
5 C 0.500 0.500 0.000

---

Most stable to least stable, the ends of the list are model Q and model P.